! ZrRh2W, relaxed, DFT PBE-GGA; values from VASP
! - Fermi-level density of states (states/eV/f.u.) = 3.5
! - E above lowest polymorph (meV per atom) = 48
! - M_tot (μB/cell) = 0.0
! - energy of formation from the pure elements (meV per atom) = -306
! - E (eV per formula unit) = -37.43
&SYSTEM
  ibrav = 0, nat = 4, ntyp = 3
/
ATOMIC_SPECIES
Zr 91.22 Zr.upf
Rh 102.91 Rh.upf
W 183.84 W.upf
ATOMIC_POSITIONS crystal
Zr 0.000 0.000 0.000
Rh 0.000 0.500 0.500
Rh 0.500 0.000 0.500
W 0.500 0.500 0.000
CELL_PARAMETERS angstrom
4.093 0.000 0.000
0.000 4.093 0.000
0.000 0.000 3.885